1.
# PBE InCuSn2, relaxed
# Distance to the lowest polymorph of the same formula in eV per atom: 0.000
data_InCuSn2
_space_group_name_H-M_alt 'R 3 m'
_space_group_IT_number 160
_space_group_name_Hall 'R 3 -2"'
_cell_length_a 4.2630
_cell_length_b 4.2630
_cell_length_c 19.2840
_cell_angle_alpha 90.00
_cell_angle_beta 90.00
_cell_angle_gamma 120.00
loop_
_atom_site_label
_atom_site_fract_x
_atom_site_fract_y
_atom_site_fract_z
In1 0.0000 0.0000 0.0000
Cu1 0.0000 0.0000 0.1603
Sn1 0.0000 0.0000 0.5552
Sn2 0.0000 0.0000 0.7732

2.
# PBE TcMo2P, relaxed
# Uncorrected energy in eV per atom: -9.27
data_TcMo2P
_space_group_name_H-M_alt 'C m m 2'
_space_group_IT_number 35
_cell_length_a 3.226
_cell_length_b 4.655
_cell_length_c 7.887
_cell_angle_alpha 90.00
_cell_angle_beta 90.00
_cell_angle_gamma 90.00
loop_
_space_group_symop_operation_xyz
'x,y,z'
'-x,-y,z'
'-x,y,z'
'x,-y,z'
'x+1/2,y+1/2,z'
'-x+1/2,-y+1/2,z'
'-x+1/2,y+1/2,z'
'x+1/2,-y+1/2,z'
loop_
_atom_site_label
_atom_site_fract_x
_atom_site_fract_y
_atom_site_fract_z
Tc1 0.000 0.000 0.000
Mo1 0.000 0.000 0.554
Mo2 0.000 0.500 0.277
P1 0.000 0.500 0.785

3.
# PBE Sm2AgSn, relaxed
# Distance to the lowest polymorph of the same formula in eV per atom: 0.010
data_Sm2AgSn
_space_group_name_H-M_alt 'P 1 21/m 1'
_space_group_IT_number 11
_cell_length_a 6.321
_cell_length_b 4.660
_cell_length_c 8.096
_cell_angle_alpha 90.00
_cell_angle_beta 110.07
_cell_angle_gamma 90.00
loop_
_space_group_symop_operation_xyz
'x,y,z'
'-x,-y,-z'
'-x,y+1/2,-z'
'x,-y+1/2,z'
loop_
_atom_site_label
_atom_site_fract_x
_atom_site_fract_y
_atom_site_fract_z
Sm1 0.204 0.250 0.435
Sm2 0.210 0.250 0.915
Ag1 0.350 0.750 0.709
Sn1 0.331 0.750 0.209

4.
# PBE Cr2Ni3Ir, relaxed
# Uncorrected energy in eV per atom: -7.53
data_Cr2Ni3Ir
_space_group_name_H-M_alt 'P n m a'
_space_group_IT_number 62
_cell_length_a 6.929
_cell_length_b 2.576
_cell_length_c 16.061
_cell_angle_alpha 90.00
_cell_angle_beta 90.00
_cell_angle_gamma 90.00
loop_
_space_group_symop_operation_xyz
'x,y,z'
'-x,-y,-z'
'-x+1/2,-y,z+1/2'
'x+1/2,y,-z+1/2'
'x+1/2,-y+1/2,-z+1/2'
'-x+1/2,y+1/2,z+1/2'
'-x,y+1/2,-z'
'x,-y+1/2,z'
loop_
_atom_site_label
_atom_site_fract_x
_atom_site_fract_y
_atom_site_fract_z
Cr1 0.080 0.250 0.194
Cr2 0.248 0.250 0.058
Ni1 0.048 0.250 0.936
Ni2 0.105 0.250 0.441
Ni3 0.245 0.250 0.816
Ir1 0.102 0.250 0.676

5.
# PBE BeGaS2N, relaxed
# Formation energy without anion corrections in eV per atom: 0.469
# Distance to the lowest polymorph of the same formula in eV per atom: 0.000
data_BeGaS2N
_space_group_name_H-M_alt 'P 4/m m m'
_space_group_IT_number 123
_space_group_name_Hall '-P 4 2'
_cell_length_a 4.747
_cell_length_b 4.747
_cell_length_c 3.142
_cell_angle_alpha 90.00
_cell_angle_beta 90.00
_cell_angle_gamma 90.00
loop_
_atom_site_label
_atom_site_fract_x
_atom_site_fract_y
_atom_site_fract_z
Be1 0.000 0.000 0.000
Ga1 0.500 0.500 0.500
S1 0.000 0.500 0.000
N1 0.000 0.000 0.500

6.
# PBE KAgW, relaxed
# Distance to the lowest polymorph of the same formula in eV per atom: 0.241
data_KAgW
_space_group_name_H-M_alt 'I 4 m m'
_space_group_IT_number 107
_space_group_name_Hall 'I 4 -2'
_cell_length_a 2.803
_cell_length_b 2.803
_cell_length_c 16.290
_cell_angle_alpha 90.00
_cell_angle_beta 90.00
_cell_angle_gamma 90.00
loop_
_atom_site_label
_atom_site_fract_x
_atom_site_fract_y
_atom_site_fract_z
K1 0.000 0.000 0.000
Ag1 0.000 0.000 0.319
W1 0.000 0.000 0.685

7.
# PBE LaCe2DyP4, relaxed
# Uncorrected energy in eV per atom: -6.92
data_LaCe2DyP4
_space_group_name_H-M_alt 'P 1 2/m 1'
_space_group_IT_number 10
_cell_length_a 7.123
_cell_length_b 4.115
_cell_length_c 7.132
_cell_angle_alpha 90.00
_cell_angle_beta 109.45
_cell_angle_gamma 90.00
loop_
_space_group_symop_operation_xyz
'x,y,z'
'-x,-y,-z'
'-x,y,-z'
'x,-y,z'
loop_
_atom_site_label
_atom_site_fract_x
_atom_site_fract_y
_atom_site_fract_z
La1 0.000 0.000 0.000
Ce1 0.500 0.000 0.500
Ce2 0.500 0.500 0.000
Dy1 0.000 0.500 0.500
P1 0.252 0.000 0.744
P2 0.258 0.500 0.260

8.
# PBE Ac2AlRe, relaxed
# Uncorrected energy in eV per atom: -4.98
data_Ac2AlRe
_space_group_name_H-M_alt 'R -3 m'
_space_group_IT_number 166
_space_group_name_Hall '-R 3 2"'
_cell_length_a 3.4351
_cell_length_b 3.4351
_cell_length_c 33.5087
_cell_angle_alpha 90.00
_cell_angle_beta 90.00
_cell_angle_gamma 120.00
loop_
_atom_site_label
_atom_site_fract_x
_atom_site_fract_y
_atom_site_fract_z
Ac1 0.0000 0.0000 0.0844
Al1 0.0000 0.0000 0.5000
Re1 0.0000 0.0000 0.0000